# Er5TlSn2 | Alexandria via LeMat-Bulk | GGA-PBE | optimized geometry
data_Er5TlSn2
_chemical_formula_sum 'Er20 Tl4 Sn8'
_symmetry_space_group_name_H-M 'C m c m'
_symmetry_Int_Tables_number 63
_symmetry_space_group_name_Hall '-C 2c 2'
_cell_length_a 5.333
_cell_length_b 11.350
_cell_length_c 15.482
_cell_angle_alpha 90.00
_cell_angle_beta 90.00
_cell_angle_gamma 90.00
loop_
_atom_site_label
_atom_site_type_symbol
_atom_site_fract_x
_atom_site_fract_y
_atom_site_fract_z
_atom_site_occupancy
Er1 Er 0.000 0.074 0.093 1
Er2 Er 0.000 0.380 0.054 1
Er3 Er 0.000 0.424 0.750 1
Tl1 Tl 0.000 0.286 0.250 1
Sn1 Sn 0.000 0.222 0.612 1
# - crystal system = orthorhombic
# - D(E_F) (states/eV per cell) = 29.17
# - raw total energy (eV/atom) = -4.377
# - magnetic moment (μB/f.u.) = 0.0